# LiLuNpOs, optimized geometry, DFT PBE
# DFT formation energy	0.06	eV/atom
# magnetic moment	4.3	μB/f.u.
# E	-121.51	eV per cell
data_LiLuNpOs
_cell_length_a 6.8153
_cell_length_b 6.8153
_cell_length_c 6.8153
_cell_angle_alpha 90.00
_cell_angle_beta 90.00
_cell_angle_gamma 90.00
_symmetry_space_group_name_H-M 'F -4 3 m'
_symmetry_Int_Tables_number 216
_symmetry_space_group_name_Hall 'F -4 2 3'
loop_
_atom_site_label
_atom_site_type_symbol
_atom_site_fract_x
_atom_site_fract_y
_atom_site_fract_z
Li1 Li 0.0000 0.0000 0.0000
Lu1 Lu 0.2500 0.2500 0.7500
Np1 Np 0.2500 0.2500 0.2500
Os1 Os 0.0000 0.0000 0.5000